[1]
# PBE PaTlCuSe3, relaxed
# * V: 28.2 A^3/atom
# * VASP energy: -31.68 eV per formula unit
# * energy relative to the elements, uncorrected: -878 meV/atom
# * N(E_F): 10.2 states/eV per cell
data_PaTlCuSe3
_symmetry_space_group_name_H-M 'P 1 21/m 1'
_symmetry_Int_Tables_number 11
_symmetry_space_group_name_Hall '-P 2yb'
_cell_length_a 9.2442
_cell_length_b 4.0782
_cell_length_c 9.5050
_cell_angle_alpha 90.00
_cell_angle_beta 109.02
_cell_angle_gamma 90.00
loop_
_atom_site_label
_atom_site_type_symbol
_atom_site_fract_x
_atom_site_fract_y
_atom_site_fract_z
Pa1 Pa 0.1812 0.2500 0.1634
Tl1 Tl 0.3011 0.7500 0.7585
Cu1 Cu 0.4176 0.7500 0.4081
Se1 Se 0.0420 0.2500 0.8418
Se2 Se 0.2951 0.2500 0.4742
Se3 Se 0.3873 0.7500 0.1386


[2]
# PBE Na2TbHo3Te6, relaxed
# * V: 30.2 A^3/atom
# * VASP energy: -55.43 eV per formula unit
# * energy relative to the elements, uncorrected: -1298 meV/atom
# * N(E_F): 7.1 states/eV per cell
data_Na2TbHo3Te6
_symmetry_space_group_name_H-M 'C 1 2/m 1'
_symmetry_Int_Tables_number 12
_symmetry_space_group_name_Hall '-C 2y'
_cell_length_a 7.5862
_cell_length_b 13.1270
_cell_length_c 7.6954
_cell_angle_alpha 90.00
_cell_angle_beta 109.13
_cell_angle_gamma 90.00
loop_
_atom_site_label
_atom_site_type_symbol
_atom_site_fract_x
_atom_site_fract_y
_atom_site_fract_z
Na1 Na 0.0000 0.1658 0.0000
Tb1 Tb 0.0000 0.5000 0.0000
Ho1 Ho 0.0000 0.0000 0.5000
Ho2 Ho 0.0000 0.3314 0.5000
Te1 Te 0.2439 0.5000 0.7421
Te2 Te 0.2499 0.1653 0.7455


[3]
# PBE ZrBe2CoHg, relaxed
# * V: 16.1 A^3/atom
# * VASP energy: -21.42 eV per formula unit
# * energy of formation: 0.3982 eV per atom
# * N(E_F): 4.7 states/eV per cell
data_ZrBe2CoHg
_symmetry_space_group_name_H-M 'P 4/m m m'
_symmetry_Int_Tables_number 123
_symmetry_space_group_name_Hall '-P 4 2'
_cell_length_a 4.1106
_cell_length_b 4.1106
_cell_length_c 4.7641
_cell_angle_alpha 90.00
_cell_angle_beta 90.00
_cell_angle_gamma 90.00
loop_
_atom_site_label
_atom_site_type_symbol
_atom_site_fract_x
_atom_site_fract_y
_atom_site_fract_z
Zr1 Zr 0.0000 0.0000 0.0000
Be1 Be 0.0000 0.5000 0.5000
Co1 Co 0.5000 0.5000 0.5000
Hg1 Hg 0.5000 0.5000 0.0000


[4]
# PBE CaAg3Br, relaxed
# * V: 30.0 A^3/atom
# * VASP energy: -10.09 eV per formula unit
# * energy relative to the elements, uncorrected: 428 meV/atom
# * N(E_F): 3.8 states/eV per cell
data_CaAg3Br
_symmetry_space_group_name_H-M 'P m -3 m'
_symmetry_Int_Tables_number 221
_symmetry_space_group_name_Hall '-P 4 2 3'
_cell_length_a 5.3116
_cell_length_b 5.3116
_cell_length_c 5.3116
_cell_angle_alpha 90.00
_cell_angle_beta 90.00
_cell_angle_gamma 90.00
loop_
_atom_site_label
_atom_site_type_symbol
_atom_site_fract_x
_atom_site_fract_y
_atom_site_fract_z
Ca1 Ca 0.0000 0.0000 0.0000
Ag1 Ag 0.0000 0.5000 0.5000
Br1 Br 0.5000 0.5000 0.5000


[5]
# PBE ZrTlZn2F8, relaxed
# * V: 16.7 A^3/atom
# * VASP energy: -58.31 eV per formula unit
# * energy relative to the elements, uncorrected: -2489 meV/atom
# * N(E_F): 14.2 states/eV per cell
data_ZrTlZn2F8
_symmetry_space_group_name_H-M 'R -3'
_symmetry_Int_Tables_number 148
_symmetry_space_group_name_Hall '-R 3'
_cell_length_a 5.3558
_cell_length_b 5.3558
_cell_length_c 24.1568
_cell_angle_alpha 90.00
_cell_angle_beta 90.00
_cell_angle_gamma 120.00
loop_
_atom_site_label
_atom_site_type_symbol
_atom_site_fract_x
_atom_site_fract_y
_atom_site_fract_z
Zr1 Zr 0.0000 0.0000 0.0000
Tl1 Tl 0.0000 0.0000 0.5000
Zn1 Zn 0.0000 0.0000 0.2352
F1 F 0.0000 0.0000 0.1572
F2 F 0.0036 0.3753 0.6171


[6]
# PBE Nd2TiFe16, relaxed
# * V: 14.0 A^3/atom
# * VASP energy: -153.09 eV per formula unit
# * energy of formation: -0.0134 eV per atom
# * N(E_F): 56.5 states/eV per cell
data_Nd2TiFe16
_symmetry_space_group_name_H-M 'R 3 m'
_symmetry_Int_Tables_number 160
_symmetry_space_group_name_Hall 'R 3 -2"'
_cell_length_a 8.5772
_cell_length_b 8.5772
_cell_length_c 12.5132
_cell_angle_alpha 90.00
_cell_angle_beta 90.00
_cell_angle_gamma 120.00
loop_
_atom_site_label
_atom_site_type_symbol
_atom_site_fract_x
_atom_site_fract_y
_atom_site_fract_z
Nd1 Nd 0.0000 0.0000 0.0000
Nd2 Nd 0.0000 0.0000 0.3133
Ti1 Ti 0.0000 0.0000 0.7458
Fe1 Fe 0.0000 0.0000 0.5560
Fe2 Fe 0.9999 0.2954 0.6535
Fe3 Fe 0.0005 0.5003 0.4955
Fe4 Fe 0.0019 0.5010 0.1544
Fe5 Fe 0.1682 0.3364 0.1458


[7]
# PBE RbZnPdPb2, relaxed
# * V: 43.1 A^3/atom
# * VASP energy: -7.67 eV per formula unit
# * energy of formation: 1.4370 eV per atom
# * N(E_F): 6.1 states/eV per cell
data_RbZnPdPb2
_symmetry_space_group_name_H-M 'P 4/m m m'
_symmetry_Int_Tables_number 123
_symmetry_space_group_name_Hall '-P 4 2'
_cell_length_a 6.1934
_cell_length_b 6.1934
_cell_length_c 5.6241
_cell_angle_alpha 90.00
_cell_angle_beta 90.00
_cell_angle_gamma 90.00
loop_
_atom_site_label
_atom_site_type_symbol
_atom_site_fract_x
_atom_site_fract_y
_atom_site_fract_z
Rb1 Rb 0.0000 0.0000 0.0000
Zn1 Zn 0.0000 0.0000 0.5000
Pd1 Pd 0.5000 0.5000 0.5000
Pb1 Pb 0.0000 0.5000 0.0000


[8]
# PBE Ba2AcPb2O6, relaxed
# * V: 21.6 A^3/atom
# * VASP energy: -67.30 eV per formula unit
# * energy relative to the elements, uncorrected: -2016 meV/atom
# * N(E_F): 8.5 states/eV per cell
data_Ba2AcPb2O6
_symmetry_space_group_name_H-M 'C 1 2/m 1'
_symmetry_Int_Tables_number 12
_symmetry_space_group_name_Hall '-C 2y'
_cell_length_a 10.6386
_cell_length_b 6.6810
_cell_length_c 7.5500
_cell_angle_alpha 90.00
_cell_angle_beta 117.93
_cell_angle_gamma 90.00
loop_
_atom_site_label
_atom_site_type_symbol
_atom_site_fract_x
_atom_site_fract_y
_atom_site_fract_z
Ba1 Ba 0.2086 0.0000 0.1297
Ac1 Ac 0.0000 0.0000 0.5000
Pb1 Pb 0.0725 0.5000 0.2389
O1 O 0.0747 0.2513 0.7857
O2 O 0.2330 0.0000 0.4845


[9]
# PBE LiZr2NpS6, relaxed
# * V: 24.1 A^3/atom
# * VASP energy: -65.57 eV per formula unit
# * energy relative to the elements, uncorrected: -885 meV/atom
# * N(E_F): 10.0 states/eV per cell
data_LiZr2NpS6
_symmetry_space_group_name_H-M 'P 4 m m'
_symmetry_Int_Tables_number 99
_symmetry_space_group_name_Hall 'P 4 -2'
_cell_length_a 6.0210
_cell_length_b 6.0210
_cell_length_c 6.6552
_cell_angle_alpha 90.00
_cell_angle_beta 90.00
_cell_angle_gamma 90.00
loop_
_atom_site_label
_atom_site_type_symbol
_atom_site_fract_x
_atom_site_fract_y
_atom_site_fract_z
Li1 Li 0.0000 0.0000 0.0000
Zr1 Zr 0.0000 0.5000 0.4356
Np1 Np 0.5000 0.5000 0.0159
S1 S 0.0000 0.0000 0.6414
S2 S 0.2413 0.2413 0.2234
S3 S 0.5000 0.5000 0.6150


[10]
# PBE SrHfGe2Pt, relaxed
# * V: 28.1 A^3/atom
# * VASP energy: -19.93 eV per formula unit
# * energy of formation: 1.3953 eV per atom
# * N(E_F): 5.8 states/eV per cell
data_SrHfGe2Pt
_symmetry_space_group_name_H-M 'P 4/m m m'
_symmetry_Int_Tables_number 123
_symmetry_space_group_name_Hall '-P 4 2'
_cell_length_a 5.2305
_cell_length_b 5.2305
_cell_length_c 5.1321
_cell_angle_alpha 90.00
_cell_angle_beta 90.00
_cell_angle_gamma 90.00
loop_
_atom_site_label
_atom_site_type_symbol
_atom_site_fract_x
_atom_site_fract_y
_atom_site_fract_z
Sr1 Sr 0.0000 0.0000 0.0000
Hf1 Hf 0.5000 0.5000 0.5000
Ge1 Ge 0.0000 0.5000 0.0000
Pt1 Pt 0.0000 0.0000 0.5000


[11]
# PBE ScHPb2, relaxed
# * V: 25.4 A^3/atom
# * VASP energy: -15.35 eV per formula unit
# * N(E_F): 17.7 states/eV per cell
data_ScHPb2
_symmetry_space_group_name_H-M 'I -4 2 d'
_symmetry_Int_Tables_number 122
_symmetry_space_group_name_Hall 'I -4 2bw'
_cell_length_a 5.8771
_cell_length_b 5.8771
_cell_length_c 11.7660
_cell_angle_alpha 90.00
_cell_angle_beta 90.00
_cell_angle_gamma 90.00
loop_
_atom_site_label
_atom_site_type_symbol
_atom_site_fract_x
_atom_site_fract_y
_atom_site_fract_z
Sc1 Sc 0.0000 0.0000 0.0000
H1 H 0.0000 0.0000 0.5000
Pb1 Pb 0.0976 0.2500 0.6250


[12]
# PBE LiTbZnGa2, relaxed
# * V: 18.7 A^3/atom
# * VASP energy: -16.07 eV per formula unit
# * energy of formation: -0.4392 eV per atom
# * N(E_F): 3.5 states/eV per cell
data_LiTbZnGa2
_symmetry_space_group_name_H-M 'I -4 m 2'
_symmetry_Int_Tables_number 119
_symmetry_space_group_name_Hall 'I -4 -2'
_cell_length_a 4.1578
_cell_length_b 4.1578
_cell_length_c 10.7998
_cell_angle_alpha 90.00
_cell_angle_beta 90.00
_cell_angle_gamma 90.00
loop_
_atom_site_label
_atom_site_type_symbol
_atom_site_fract_x
_atom_site_fract_y
_atom_site_fract_z
Li1 Li 0.0000 0.0000 0.0000
Tb1 Tb 0.0000 0.5000 0.7500
Zn1 Zn 0.0000 0.0000 0.5000
Ga1 Ga 0.0000 0.5000 0.1365